(1)
Here is an optimized crystal structure of Tb4YIn2 from Alexandria via LeMat-Bulk. Energies are from PBE-GGA.

Lattice parameters (Å, degrees): 6.292 10.801 6.878 90.00 112.91 90.00
Atoms (fractional coordinates):
Tb 0.006 0.166 0.000
Tb 0.006 0.334 0.500
Tb 0.493 0.719 0.998
Tb 0.493 0.781 0.498
Tb 0.507 0.219 0.502
Tb 0.507 0.281 0.002
Tb 0.994 0.666 0.500
Tb 0.994 0.834 0.000
Y 0.000 0.000 0.500
Y 0.000 0.500 0.000
In 0.464 0.501 0.695
In 0.464 0.999 0.195
In 0.536 0.001 0.805
In 0.536 0.499 0.305

Properties
* calculated formation energy: -0.12 eV/atom
* energy relative to the lowest polymorph listed for this composition: 11 meV per atom
* M_tot: 0.0 μB/f.u.

(2)
Here is an optimized crystal structure of CrReHg2P from Alexandria via LeMat-Bulk. Energies are from PBE-GGA.

Lattice parameters (Å, degrees): 5.094 5.094 4.498 90.00 90.00 90.00
Atoms (fractional coordinates):
Cr 0.000 0.000 0.000
Re 0.000 0.000 0.500
Hg 0.000 0.500 0.000
Hg 0.500 0.000 0.000
P 0.500 0.500 0.500

Properties
* calculated formation energy: 1.54 eV/atom
* M_tot: 1.1 μB/f.u.

(3)
Here is an optimized crystal structure of La2AlW from Alexandria via LeMat-Bulk. Energies are from PBE-GGA.

Lattice parameters (Å, degrees): 3.113 3.113 10.022 90.00 90.00 90.00
Atoms (fractional coordinates):
La 0.000 0.000 0.244
La 0.000 0.000 0.756
Al 0.500 0.500 0.500
W 0.500 0.500 0.000

Properties
* calculated formation energy: 0.39 eV/atom
* M_tot: 0.0 μB/f.u.